AsP2SN | GGA-PBE | relaxed

abc: 4.8015 4.8015 4.7971
angles: 90.00 90.00 90.00
Element x y z (fractional)
As 0.0000 0.0000 0.0000
P 0.0000 0.5000 0.0000
P 0.5000 0.0000 0.0000
S 0.0000 0.0000 0.5000
N 0.5000 0.5000 0.5000

DFT total energy in eV/atom: -3.618
Calculated volume in Å³ per atom: 22.1



AsPSN2 | GGA-PBE | relaxed

abc: 3.7066 3.7066 4.9201
angles: 90.00 90.00 90.00
Element x y z (fractional)
As 0.0000 0.0000 0.0000
P 0.5000 0.5000 0.5000
S 0.0000 0.0000 0.5000
N 0.0000 0.5000 0.0000
N 0.5000 0.0000 0.0000

DFT total energy in eV/atom: -4.669
Calculated volume in Å³ per atom: 13.5



As2PSN | GGA-PBE | relaxed

abc: 4.9281 4.9281 3.2978
angles: 90.00 90.00 90.00
Element x y z (fractional)
As 0.0000 0.5000 0.0000
As 0.5000 0.0000 0.0000
P 0.0000 0.0000 0.0000
S 0.5000 0.5000 0.5000
N 0.0000 0.0000 0.5000

DFT total energy in eV/atom: -4.695
Calculated volume in Å³ per atom: 16.0



As2PSeN | GGA-PBE | relaxed

abc: 4.7685 4.7685 4.9281
angles: 90.00 90.00 90.00
Element x y z (fractional)
As 0.0000 0.5000 0.0000
As 0.5000 0.0000 0.0000
P 0.0000 0.0000 0.0000
Se 0.0000 0.0000 0.5000
N 0.5000 0.5000 0.5000

DFT total energy in eV/atom: -3.661
Calculated volume in Å³ per atom: 22.4



As2PSeN | GGA-PBE | relaxed

abc: 4.3413 4.3413 4.4461
angles: 90.00 90.00 90.00
Element x y z (fractional)
As 0.0000 0.5000 0.0000
As 0.5000 0.0000 0.0000
P 0.0000 0.0000 0.5000
Se 0.5000 0.5000 0.5000
N 0.5000 0.5000 0.0000

DFT total energy in eV/atom: -4.284
Calculated volume in Å³ per atom: 16.8



SiAsP2N | GGA-PBE | relaxed

abc: 4.8163 4.8163 3.5904
angles: 90.00 90.00 90.00
Element x y z (fractional)
Si 0.0000 0.0000 0.0000
As 0.5000 0.5000 0.5000
P 0.0000 0.5000 0.5000
P 0.5000 0.0000 0.5000
N 0.5000 0.5000 0.0000

DFT total energy in eV/atom: -4.578
Calculated volume in Å³ per atom: 16.7



Sm4AsP2N | GGA-PBE | relaxed

abc: 7.1202 7.1202 14.1889
angles: 90.00 90.00 146.82
Element x y z (fractional)
Sm 0.0000 0.0000 0.0000
Sm 0.0000 0.0000 0.5000
Sm 0.2611 0.7389 0.6285
Sm 0.2611 0.7389 0.8715
Sm 0.4341 0.5659 0.2500
Sm 0.5659 0.4341 0.7500
Sm 0.7389 0.2611 0.1285
Sm 0.7389 0.2611 0.3715
As 0.1108 0.8892 0.2500
As 0.8892 0.1108 0.7500
P 0.3676 0.6324 0.0525
P 0.3676 0.6324 0.4475
P 0.6324 0.3676 0.5525
P 0.6324 0.3676 0.9475
N 0.1560 0.8440 0.7500
N 0.8440 0.1560 0.2500

DFT total energy in eV/atom: -6.703
Calculated volume in Å³ per atom: 24.6



Sr6As2PN | GGA-PBE | relaxed

abc: 7.3725 7.8183 12.9151
angles: 90.00 124.79 90.00
Element x y z (fractional)
Sr 0.1151 0.2078 0.4382
Sr 0.1151 0.2922 0.9382
Sr 0.2370 0.6800 0.4446
Sr 0.2370 0.8200 0.9446
Sr 0.3483 0.0489 0.2348
Sr 0.3483 0.4511 0.7348
Sr 0.6517 0.5489 0.2652
Sr 0.6517 0.9511 0.7652
Sr 0.7630 0.1800 0.0554
Sr 0.7630 0.3200 0.5554
Sr 0.8849 0.7078 0.0618
Sr 0.8849 0.7922 0.5618
As 0.2302 0.0701 0.7514
As 0.2302 0.4299 0.2514
As 0.7698 0.5701 0.7486
As 0.7698 0.9299 0.2486
P 0.5000 0.0000 0.5000
P 0.5000 0.5000 0.0000
N 0.0000 0.0000 0.0000
N 0.0000 0.5000 0.5000

DFT total energy in eV/atom: -4.287
Calculated volume in Å³ per atom: 30.6